No. 1
## PaFe2I8 (PBE)

Data for crystalline PaFe2I8 at its relaxed geometry.

Cell lengths 12.2316, 12.2691, 8.9782 Å; angles 90.00, 120.67, 90.00 degrees
Closest atoms and distances in Å follow each position.
Space group C2/m (No. 12)
Asymmetric unit:
Pa  0.0000  0.0000  0.0000 (multiplicity 2)  2 Fe 2.99, 6 I 3.02-3.03
Fe  0.1750  0.0000  0.3843 (multiplicity 4)  4 I 2.51-2.65
I  0.0195  0.1691  0.2566 (multiplicity 8)  1 Fe 2.65
I  0.1807  0.5000  0.2929 (multiplicity 4)  1 Fe 2.51
I  0.2123  0.5000  0.8017 (multiplicity 4)  1 Fe 2.65

Properties
* calculated volume: 1158.86 Å³/cell

***

No. 2
## Pa2FeI8 (PBE)

Data for crystalline Pa2FeI8 at its relaxed geometry.

Cell lengths 14.6342, 8.0125, 7.7697 Å; angles 90.00, 92.94, 90.00 degrees
Closest atoms and distances in Å follow each position.
Space group C2/m (No. 12)
Asymmetric unit:
Pa  0.1001  0.0000  0.4395 (multiplicity 4)  6 I 3.00-3.22, 1 Pa 3.12
Fe  0.0000  0.0000  0.0000 (multiplicity 2)  6 I 2.82-2.88
I  0.0401  0.2448  0.7432 (multiplicity 8)  1 Fe 2.88, 2 Pa 3.13-3.22
I  0.1879  0.0000  0.0985 (multiplicity 4)  1 Fe 2.82, 1 Pa 3.00
I  0.2098  0.5000  0.3891 (multiplicity 4)  1 Pa 3.02

Properties
* calculated volume: 909.85 Å³/cell

***

No. 3
## Fe3PbI (PBE)

Data for crystalline Fe3PbI at its relaxed geometry.

Cell lengths 4.7502, 4.7502, 4.7502 Å; angles 90.00, 90.00, 90.00 degrees
Closest atoms and distances in Å follow each position.
Space group Pm-3m (No. 221)
Asymmetric unit:
Fe  0.0000  0.0000  0.5000 (multiplicity 3)  2 I 2.38
Pb  0.5000  0.5000  0.5000 (multiplicity 1)  12 Fe 3.36
I  0.0000  0.0000  0.0000 (multiplicity 1)  6 Fe 2.38

Properties
* calculated volume: 107.19 Å³/cell

***

No. 4
## Fe3PbI12 (PBE)

Data for crystalline Fe3PbI12 at its relaxed geometry.

Cell lengths 15.0980, 15.0980, 8.1041 Å; angles 90.00, 90.00, 120.00 degrees
Closest atoms and distances in Å follow each position.
Space group P6_3/m (No. 176)
Asymmetric unit:
Fe  0.1221  0.7086  0.2500 (multiplicity 6)  4 I 2.49-2.58
Pb  0.3333  0.6667  0.7500 (multiplicity 2)  6 I 3.29
I  0.0119  0.5174  0.2500 (multiplicity 6)  1 Fe 2.51
I  0.0242  0.8014  0.2500 (multiplicity 6)  1 Fe 2.49
I  0.2269  0.4654  0.5063 (multiplicity 12)  1 Fe 2.58

Properties
* calculated volume: 1599.83 Å³/cell

***

No. 5
## FePb3I (PBE)

Data for crystalline FePb3I at its relaxed geometry.

Cell lengths 5.2407, 5.2407, 5.2407 Å; angles 90.00, 90.00, 90.00 degrees
Closest atoms and distances in Å follow each position.
Space group Pm-3m (No. 221)
Asymmetric unit:
Fe  0.0000  0.0000  0.0000 (multiplicity 1)  6 Pb 2.62
Pb  0.0000  0.0000  0.5000 (multiplicity 3)  2 Fe 2.62
I  0.5000  0.5000  0.5000 (multiplicity 1)  12 Pb 3.71

Properties
* calculated volume: 143.93 Å³/cell

***

No. 6
## FePbI3 (PBE)

Data for crystalline FePbI3 at its relaxed geometry.

Cell lengths 6.2536, 6.2536, 6.2536 Å; angles 90.00, 90.00, 90.00 degrees
Closest atoms and distances in Å follow each position.
Space group Pm-3m (No. 221)
Asymmetric unit:
Fe  0.0000  0.0000  0.0000 (multiplicity 1)  12 I 4.42
Pb  0.5000  0.5000  0.5000 (multiplicity 1)  6 I 3.13
I  0.0000  0.5000  0.5000 (multiplicity 3)  2 Pb 3.13

Properties
* calculated volume: 244.56 Å³/cell

***

No. 7
## FePb2I (PBE)

Data for crystalline FePb2I at its relaxed geometry.

Cell lengths 7.7101, 7.7101, 7.7101 Å; angles 90.00, 90.00, 90.00 degrees
Closest atoms and distances in Å follow each position.
Space group Fm-3m (No. 225)
Asymmetric unit:
Fe  0.0000  0.0000  0.0000 (multiplicity 4)  8 Pb 3.34
Pb  0.2500  0.2500  0.2500 (multiplicity 8)  4 Fe 3.34, 4 I 3.34
I  0.0000  0.0000  0.5000 (multiplicity 4)  8 Pb 3.34

Properties
* calculated volume: 458.33 Å³/cell

***

No. 8
## Fe2PbI8 (PBE)

Data for crystalline Fe2PbI8 at its relaxed geometry.

Cell lengths 13.8472, 11.3843, 7.2248 Å; angles 90.00, 97.67, 90.00 degrees
Closest atoms and distances in Å follow each position.
Space group C2/m (No. 12)
Asymmetric unit:
Fe  0.2003  0.0000  0.1517 (multiplicity 4)  4 I 2.50-2.59
Pb  0.0000  0.0000  0.5000 (multiplicity 2)  6 I 3.24-3.28
I  0.1102  0.1830  0.2554 (multiplicity 8)  1 Fe 2.59
I  0.1248  0.5000  0.7060 (multiplicity 4)  1 Fe 2.50
I  0.2018  0.0000  0.7955 (multiplicity 4)  1 Fe 2.58

Properties
* calculated volume: 1128.73 Å³/cell

***

No. 9
## FePbI3 (PBE)

Data for crystalline FePbI3 at its relaxed geometry.

Cell lengths 5.4955, 5.4955, 5.4955 Å; angles 90.00, 90.00, 90.00 degrees
Closest atoms and distances in Å follow each position.
Space group Pm-3m (No. 221)
Asymmetric unit:
Fe  0.0000  0.0000  0.0000 (multiplicity 1)  6 I 2.75
Pb  0.5000  0.5000  0.5000 (multiplicity 1)  12 I 3.89
I  0.0000  0.0000  0.5000 (multiplicity 3)  2 Fe 2.75

Properties
* calculated volume: 165.97 Å³/cell

***

No. 10
## FePb2I (PBE)

Data for crystalline FePb2I at its relaxed geometry.

Cell lengths 6.6737, 6.6737, 13.1137 Å; angles 90.00, 90.00, 90.00 degrees
Closest atoms and distances in Å follow each position.
Space group I-42d (No. 122)
Asymmetric unit:
Fe  0.0000  0.0000  0.0000 (multiplicity 4)  4 Pb 2.50
Pb  0.1317  0.2500  0.1250 (multiplicity 8)  2 Fe 2.50
I  0.0000  0.0000  0.5000 (multiplicity 4)  4 Pb 3.39

Properties
* calculated volume: 584.07 Å³/cell

***

No. 11
## RbFe2PbI8 (PBE)

Data for crystalline RbFe2PbI8 at its relaxed geometry.

Cell lengths 12.4000, 8.5738, 10.8915 Å; angles 90.00, 96.71, 90.00 degrees
Closest atoms and distances in Å follow each position.
Space group C2/m (No. 12)
Asymmetric unit:
Rb  0.0000  0.0000  0.0000 (multiplicity 2)  6 I 3.77-3.91
Fe  0.1133  0.5000  0.2794 (multiplicity 4)  4 I 2.54-2.63
Pb  0.0000  0.0000  0.5000 (multiplicity 2)  6 I 3.25-3.28
I  0.0176  0.2588  0.7227 (multiplicity 8)  1 Fe 2.63
I  0.2003  0.5000  0.0792 (multiplicity 4)  1 Fe 2.54
I  0.2371  0.5000  0.4865 (multiplicity 4)  1 Fe 2.58

Properties
* calculated volume: 1150.01 Å³/cell

***

No. 12
## FeSbPbI2 (PBE)

Data for crystalline FeSbPbI2 at its relaxed geometry.

Cell lengths 6.1481, 6.1481, 6.0909 Å; angles 90.00, 90.00, 90.00 degrees
Closest atoms and distances in Å follow each position.
Space group P4/mmm (No. 123)
Asymmetric unit:
Fe  0.0000  0.0000  0.0000 (multiplicity 1)  8 I 4.33, 4 Sb 4.35
Sb  0.5000  0.5000  0.0000 (multiplicity 1)  2 Pb 3.05
Pb  0.5000  0.5000  0.5000 (multiplicity 1)  2 Sb 3.05, 4 I 3.07
I  0.0000  0.5000  0.5000 (multiplicity 2)  2 Pb 3.07

Properties
* calculated volume: 230.23 Å³/cell

***

No. 13
## FeSbPbI2 (PBE)

Data for crystalline FeSbPbI2 at its relaxed geometry.

Cell lengths 5.4691, 5.4691, 5.1423 Å; angles 90.00, 90.00, 90.00 degrees
Closest atoms and distances in Å follow each position.
Space group P4/mmm (No. 123)
Asymmetric unit:
Fe  0.0000  0.0000  0.0000 (multiplicity 1)  2 Sb 2.57, 4 I 2.73
Sb  0.0000  0.0000  0.5000 (multiplicity 1)  2 Fe 2.57
Pb  0.5000  0.5000  0.5000 (multiplicity 1)  8 I 3.75, 4 Sb 3.87
I  0.0000  0.5000  0.0000 (multiplicity 2)  2 Fe 2.73

Properties
* calculated volume: 153.81 Å³/cell

***

No. 14
## Sr2FePbI (PBE)

Data for crystalline Sr2FePbI at its relaxed geometry.

Cell lengths 6.4633, 6.4633, 5.0215 Å; angles 90.00, 90.00, 90.00 degrees
Closest atoms and distances in Å follow each position.
Space group P4/mmm (No. 123)
Asymmetric unit:
Sr  0.0000  0.5000  0.0000 (multiplicity 2)  2 Pb 3.23
Fe  0.0000  0.0000  0.5000 (multiplicity 1)  2 Pb 2.51
Pb  0.0000  0.0000  0.0000 (multiplicity 1)  2 Fe 2.51
I  0.5000  0.5000  0.5000 (multiplicity 1)  8 Sr 4.09, 4 Fe 4.57

Properties
* calculated volume: 209.77 Å³/cell

***

No. 15
## SrFe2PbI (PBE)

Data for crystalline SrFe2PbI at its relaxed geometry.

Cell lengths 5.0982, 5.0982, 6.7136 Å; angles 90.00, 90.00, 90.00 degrees
Closest atoms and distances in Å follow each position.
Space group P4/mmm (No. 123)
Asymmetric unit:
Sr  0.0000  0.0000  0.0000 (multiplicity 1)  2 Pb 3.36, 4 I 3.60
Fe  0.0000  0.5000  0.5000 (multiplicity 2)  2 Pb 2.55
Pb  0.0000  0.0000  0.5000 (multiplicity 1)  4 Fe 2.55
I  0.5000  0.5000  0.0000 (multiplicity 1)  4 Sr 3.60

Properties
* calculated volume: 174.50 Å³/cell

***

No. 16
## FeTe2PbI (PBE)

Data for crystalline FeTe2PbI at its relaxed geometry.

Cell lengths 5.1593, 5.1593, 5.6697 Å; angles 90.00, 90.00, 90.00 degrees
Closest atoms and distances in Å follow each position.
Space group P4/mmm (No. 123)
Asymmetric unit:
Fe  0.0000  0.0000  0.0000 (multiplicity 1)  4 Te 2.58, 2 I 2.83
Te  0.0000  0.5000  0.0000 (multiplicity 2)  2 Fe 2.58
Pb  0.5000  0.5000  0.5000 (multiplicity 1)  4 I 3.65, 8 Te 3.83
I  0.0000  0.0000  0.5000 (multiplicity 1)  2 Fe 2.83

Properties
* calculated volume: 150.92 Å³/cell

***

No. 17
## FeTePbI2 (PBE)

Data for crystalline FeTePbI2 at its relaxed geometry.

Cell lengths 5.3923, 5.3923, 5.3982 Å; angles 90.00, 90.00, 90.00 degrees
Closest atoms and distances in Å follow each position.
Space group P4/mmm (No. 123)
Asymmetric unit:
Fe  0.0000  0.0000  0.0000 (multiplicity 1)  4 I 2.70, 2 Te 2.70
Te  0.0000  0.0000  0.5000 (multiplicity 1)  2 Fe 2.70
Pb  0.5000  0.5000  0.5000 (multiplicity 1)  4 Te 3.81, 8 I 3.82
I  0.0000  0.5000  0.0000 (multiplicity 2)  2 Fe 2.70

Properties
* calculated volume: 156.96 Å³/cell

***

No. 18
## FeTe2PbI (PBE)

Data for crystalline FeTe2PbI at its relaxed geometry.

Cell lengths 5.8852, 5.8852, 6.0655 Å; angles 90.00, 90.00, 90.00 degrees
Closest atoms and distances in Å follow each position.
Space group P4/mmm (No. 123)
Asymmetric unit:
Fe  0.0000  0.0000  0.0000 (multiplicity 1)  4 I 4.16, 8 Te 4.23
Te  0.0000  0.5000  0.5000 (multiplicity 2)  2 Pb 2.94
Pb  0.5000  0.5000  0.5000 (multiplicity 1)  4 Te 2.94, 2 I 3.03
I  0.5000  0.5000  0.0000 (multiplicity 1)  2 Pb 3.03

Properties
* calculated volume: 210.08 Å³/cell

***

No. 19
## FeTePbI2 (PBE)

Data for crystalline FeTePbI2 at its relaxed geometry.

Cell lengths 6.1302, 6.1302, 6.0440 Å; angles 90.00, 90.00, 90.00 degrees
Closest atoms and distances in Å follow each position.
Space group P4/mmm (No. 123)
Asymmetric unit:
Fe  0.0000  0.0000  0.0000 (multiplicity 1)  8 I 4.30, 4 Te 4.33
Te  0.5000  0.5000  0.0000 (multiplicity 1)  2 Pb 3.02
Pb  0.5000  0.5000  0.5000 (multiplicity 1)  2 Te 3.02, 4 I 3.07
I  0.0000  0.5000  0.5000 (multiplicity 2)  2 Pb 3.07

Properties
* calculated volume: 227.13 Å³/cell

***

No. 20
## ZrFe2PbI (PBE)

Data for crystalline ZrFe2PbI at its relaxed geometry.

Cell lengths 4.8608, 4.8608, 5.5732 Å; angles 90.00, 90.00, 90.00 degrees
Closest atoms and distances in Å follow each position.
Space group P4/mmm (No. 123)
Asymmetric unit:
Zr  0.0000  0.0000  0.0000 (multiplicity 1)  2 Pb 2.79
Fe  0.0000  0.5000  0.5000 (multiplicity 2)  2 Pb 2.43
Pb  0.0000  0.0000  0.5000 (multiplicity 1)  4 Fe 2.43
I  0.5000  0.5000  0.0000 (multiplicity 1)  4 Zr 3.44, 8 Fe 3.70

Properties
* calculated volume: 131.68 Å³/cell

***

no.,formation energy from raw total energies (eV per formula unit)
1,-5.5
2,-6.9
3,6.6
4,-2.9
5,0.5
6,2.6
7,2.8
8,-3.2
9,0.5
10,2.3
11,-5.8
12,4.7
13,1.5
14,-0.5
15,2.9
16,0.8
17,0.7
18,4.8
19,3.8
20,8.3